First-principles (PBE) data for crystalline PrTm3In at its relaxed geometry, as listed in the Alexandria database.

Structure (CIF):
```
data_PrTm3In
_cell_length_a 12.800
_cell_length_b 12.800
_cell_length_c 4.819
_cell_angle_alpha 90.00
_cell_angle_beta 90.00
_cell_angle_gamma 158.16
_space_group_name_H-M_alt 'P 1'
_space_group_IT_number 1
_space_group_name_Hall 'P 1'
loop_
_atom_site_label
_atom_site_type_symbol
_atom_site_fract_x
_atom_site_fract_y
_atom_site_fract_z
_atom_site_occupancy
Pr1 Pr 0.147 0.853 0.750 1
Pr2 Pr 0.853 0.147 0.250 1
Tm1 Tm 0.046 0.954 0.250 1
Tm2 Tm 0.251 0.749 0.250 1
Tm3 Tm 0.449 0.551 0.250 1
Tm4 Tm 0.551 0.449 0.750 1
Tm5 Tm 0.749 0.251 0.750 1
Tm6 Tm 0.954 0.046 0.750 1
In1 In 0.346 0.654 0.750 1
In2 In 0.654 0.346 0.250 1
```

Summary:
* magnetization: 0.00 μB/f.u.
* calculated total energy: -4.35 eV/atom
* SG: Cmcm, No. 63
* calculated formation energy: -0.162 eV per atom


First-principles (PBE) data for crystalline Pr3Tm3In5 at its relaxed geometry, as listed in the Alexandria database.

Structure (CIF):
```
data_Pr3Tm3In5
_cell_length_a 9.056
_cell_length_b 9.056
_cell_length_c 5.743
_cell_angle_alpha 90.00
_cell_angle_beta 90.00
_cell_angle_gamma 120.00
_space_group_name_H-M_alt 'P 1'
_space_group_IT_number 1
_space_group_name_Hall 'P 1'
loop_
_atom_site_label
_atom_site_type_symbol
_atom_site_fract_x
_atom_site_fract_y
_atom_site_fract_z
_atom_site_occupancy
Pr1 Pr 0.000 0.471 0.000 1
Pr2 Pr 0.471 0.000 0.000 1
Pr3 Pr 0.529 0.529 0.000 1
Tm1 Tm 0.000 0.720 0.500 1
Tm2 Tm 0.280 0.280 0.500 1
Tm3 Tm 0.720 0.000 0.500 1
In1 In 0.000 0.353 0.500 1
In2 In 0.333 0.667 0.500 1
In3 In 0.353 0.000 0.500 1
In4 In 0.647 0.647 0.500 1
In5 In 0.667 0.333 0.500 1
```

Summary:
* magnetization: 0.00 μB/f.u.
* calculated total energy: -3.58 eV/atom
* SG: P-62m, No. 189
* calculated formation energy: 0.190 eV per atom


First-principles (PBE) data for crystalline Pr5Tm12In2 at its relaxed geometry, as listed in the Alexandria database.

Structure (CIF):
```
data_Pr5Tm12In2
_cell_length_a 8.977
_cell_length_b 8.977
_cell_length_c 8.349
_cell_angle_alpha 91.89
_cell_angle_beta 91.89
_cell_angle_gamma 62.25
_space_group_name_H-M_alt 'P 1'
_space_group_IT_number 1
_space_group_name_Hall 'P 1'
loop_
_atom_site_label
_atom_site_type_symbol
_atom_site_fract_x
_atom_site_fract_y
_atom_site_fract_z
_atom_site_occupancy
Pr1 Pr 0.000 0.000 0.000 1
Pr2 Pr 0.234 0.234 0.075 1
Pr3 Pr 0.302 0.302 0.488 1
Pr4 Pr 0.698 0.698 0.512 1
Pr5 Pr 0.766 0.766 0.925 1
Tm1 Tm 0.040 0.674 0.264 1
Tm2 Tm 0.076 0.076 0.379 1
Tm3 Tm 0.181 0.566 0.830 1
Tm4 Tm 0.326 0.960 0.736 1
Tm5 Tm 0.434 0.819 0.170 1
Tm6 Tm 0.447 0.447 0.173 1
Tm7 Tm 0.553 0.553 0.827 1
Tm8 Tm 0.566 0.181 0.830 1
Tm9 Tm 0.674 0.040 0.264 1
Tm10 Tm 0.819 0.434 0.170 1
Tm11 Tm 0.924 0.924 0.621 1
Tm12 Tm 0.960 0.326 0.736 1
In1 In 0.322 0.678 0.500 1
In2 In 0.678 0.322 0.500 1
```

Summary:
* magnetization: 0.00 μB/f.u.
* calculated total energy: -4.38 eV/atom
* SG: C2/m, No. 12
* calculated formation energy: -0.013 eV per atom


First-principles (PBE) data for crystalline PrTmIn6 at its relaxed geometry, as listed in the Alexandria database.

Structure (CIF):
```
data_PrTmIn6
_cell_length_a 4.679
_cell_length_b 4.679
_cell_length_c 9.345
_cell_angle_alpha 90.00
_cell_angle_beta 90.00
_cell_angle_gamma 90.00
_space_group_name_H-M_alt 'P 1'
_space_group_IT_number 1
_space_group_name_Hall 'P 1'
loop_
_atom_site_label
_atom_site_type_symbol
_atom_site_fract_x
_atom_site_fract_y
_atom_site_fract_z
_atom_site_occupancy
Pr1 Pr 0.000 0.000 0.000 1
Tm1 Tm 0.000 0.000 0.500 1
In1 In 0.000 0.500 0.257 1
In2 In 0.000 0.500 0.743 1
In3 In 0.500 0.000 0.257 1
In4 In 0.500 0.000 0.743 1
In5 In 0.500 0.500 0.000 1
In6 In 0.500 0.500 0.500 1
```

Summary:
* magnetization: 0.00 μB/f.u.
* calculated total energy: -3.63 eV/atom
* SG: P4/mmm, No. 123
* calculated formation energy: -0.419 eV per atom


First-principles (PBE) data for crystalline PrTmIn2 at its relaxed geometry, as listed in the Alexandria database.

Structure (CIF):
```
data_PrTmIn2
_cell_length_a 3.804
_cell_length_b 3.804
_cell_length_c 7.639
_cell_angle_alpha 90.00
_cell_angle_beta 90.00
_cell_angle_gamma 90.00
_space_group_name_H-M_alt 'P 1'
_space_group_IT_number 1
_space_group_name_Hall 'P 1'
loop_
_atom_site_label
_atom_site_type_symbol
_atom_site_fract_x
_atom_site_fract_y
_atom_site_fract_z
_atom_site_occupancy
Pr1 Pr 0.000 0.000 0.000 1
Tm1 Tm 0.000 0.000 0.500 1
In1 In 0.500 0.500 0.269 1
In2 In 0.500 0.500 0.731 1
```

Summary:
* magnetization: 0.00 μB/f.u.
* calculated total energy: -4.15 eV/atom
* SG: P4/mmm, No. 123
* calculated formation energy: -0.468 eV per atom


First-principles (PBE) data for crystalline Pr3Tm2In at its relaxed geometry, as listed in the Alexandria database.

Structure (CIF):
```
data_Pr3Tm2In
_cell_length_a 8.724
_cell_length_b 8.724
_cell_length_c 13.081
_cell_angle_alpha 102.42
_cell_angle_beta 102.42
_cell_angle_gamma 23.54
_space_group_name_H-M_alt 'P 1'
_space_group_IT_number 1
_space_group_name_Hall 'P 1'
loop_
_atom_site_label
_atom_site_type_symbol
_atom_site_fract_x
_atom_site_fract_y
_atom_site_fract_z
_atom_site_occupancy
Pr1 Pr 0.081 0.081 0.217 1
Pr2 Pr 0.237 0.237 0.619 1
Pr3 Pr 0.415 0.415 0.033 1
Pr4 Pr 0.585 0.585 0.967 1
Pr5 Pr 0.763 0.763 0.381 1
Pr6 Pr 0.919 0.919 0.783 1
Tm1 Tm 0.233 0.233 0.880 1
Tm2 Tm 0.420 0.420 0.549 1
Tm3 Tm 0.580 0.580 0.451 1
Tm4 Tm 0.767 0.767 0.120 1
In1 In 0.412 0.412 0.289 1
In2 In 0.588 0.588 0.711 1
```

Summary:
* magnetization: 0.00 μB/f.u.
* calculated total energy: -4.37 eV/atom
* SG: C2/m, No. 12
* calculated formation energy: -0.034 eV per atom


First-principles (PBE) data for crystalline PrTm2In9 at its relaxed geometry, as listed in the Alexandria database.

Structure (CIF):
```
data_PrTm2In9
_cell_length_a 4.664
_cell_length_b 4.664
_cell_length_c 13.924
_cell_angle_alpha 90.00
_cell_angle_beta 90.00
_cell_angle_gamma 90.00
_space_group_name_H-M_alt 'P 1'
_space_group_IT_number 1
_space_group_name_Hall 'P 1'
loop_
_atom_site_label
_atom_site_type_symbol
_atom_site_fract_x
_atom_site_fract_y
_atom_site_fract_z
_atom_site_occupancy
Pr1 Pr 0.000 0.000 0.000 1
Tm1 Tm 0.000 0.000 0.336 1
Tm2 Tm 0.000 0.000 0.664 1
In1 In 0.000 0.500 0.173 1
In2 In 0.000 0.500 0.500 1
In3 In 0.000 0.500 0.827 1
In4 In 0.500 0.000 0.173 1
In5 In 0.500 0.000 0.500 1
In6 In 0.500 0.000 0.827 1
In7 In 0.500 0.500 0.000 1
In8 In 0.500 0.500 0.335 1
In9 In 0.500 0.500 0.665 1
```

Summary:
* magnetization: 0.00 μB/f.u.
* calculated total energy: -3.60 eV/atom
* SG: P4/mmm, No. 123
* calculated formation energy: -0.400 eV per atom


First-principles (PBE) data for crystalline Pr5Tm4In at its relaxed geometry, as listed in the Alexandria database.

Structure (CIF):
```
data_Pr5Tm4In
_cell_length_a 4.163
_cell_length_b 4.163
_cell_length_c 18.703
_cell_angle_alpha 90.00
_cell_angle_beta 90.00
_cell_angle_gamma 90.00
_space_group_name_H-M_alt 'P 1'
_space_group_IT_number 1
_space_group_name_Hall 'P 1'
loop_
_atom_site_label
_atom_site_type_symbol
_atom_site_fract_x
_atom_site_fract_y
_atom_site_fract_z
_atom_site_occupancy
Pr1 Pr 0.000 0.000 0.000 1
Pr2 Pr 0.000 0.000 0.205 1
Pr3 Pr 0.000 0.000 0.408 1
Pr4 Pr 0.000 0.000 0.592 1
Pr5 Pr 0.000 0.000 0.795 1
Tm1 Tm 0.500 0.500 0.102 1
Tm2 Tm 0.500 0.500 0.305 1
Tm3 Tm 0.500 0.500 0.695 1
Tm4 Tm 0.500 0.500 0.898 1
In1 In 0.500 0.500 0.500 1
```

Summary:
* magnetization: 0.00 μB/f.u.
* calculated total energy: -4.47 eV/atom
* SG: P4/mmm, No. 123
* calculated formation energy: -0.022 eV per atom


First-principles (PBE) data for crystalline PrTm5In at its relaxed geometry, as listed in the Alexandria database.

Structure (CIF):
```
data_PrTm5In
_cell_length_a 7.116
_cell_length_b 7.116
_cell_length_c 7.116
_cell_angle_alpha 128.66
_cell_angle_beta 125.90
_cell_angle_gamma 77.81
_space_group_name_H-M_alt 'P 1'
_space_group_IT_number 1
_space_group_name_Hall 'P 1'
loop_
_atom_site_label
_atom_site_type_symbol
_atom_site_fract_x
_atom_site_fract_y
_atom_site_fract_z
_atom_site_occupancy
Pr1 Pr 0.000 0.000 0.000 1
Tm1 Tm 0.335 0.089 0.754 1
Tm2 Tm 0.335 0.581 0.246 1
Tm3 Tm 0.367 0.606 0.761 1
Tm4 Tm 0.845 0.606 0.239 1
Tm5 Tm 0.850 0.350 0.500 1
In1 In 0.582 0.082 0.500 1
```

Summary:
* magnetization: 0.00 μB/f.u.
* calculated total energy: -4.18 eV/atom
* SG: Imm2, No. 44
* calculated formation energy: 0.089 eV per atom


First-principles (PBE) data for crystalline PrTmIn3 at its relaxed geometry, as listed in the Alexandria database.

Structure (CIF):
```
data_PrTmIn3
_cell_length_a 8.918
_cell_length_b 8.918
_cell_length_c 5.577
_cell_angle_alpha 90.00
_cell_angle_beta 90.00
_cell_angle_gamma 139.41
_space_group_name_H-M_alt 'P 1'
_space_group_IT_number 1
_space_group_name_Hall 'P 1'
loop_
_atom_site_label
_atom_site_type_symbol
_atom_site_fract_x
_atom_site_fract_y
_atom_site_fract_z
_atom_site_occupancy
Pr1 Pr 0.196 0.804 0.750 1
Pr2 Pr 0.804 0.196 0.250 1
Tm1 Tm 0.434 0.566 0.250 1
Tm2 Tm 0.566 0.434 0.750 1
In1 In 0.000 0.000 0.000 1
In2 In 0.000 0.000 0.500 1
In3 In 0.134 0.395 0.750 1
In4 In 0.395 0.134 0.250 1
In5 In 0.605 0.866 0.750 1
In6 In 0.866 0.605 0.250 1
```

Summary:
* magnetization: 0.00 μB/f.u.
* calculated total energy: -3.77 eV/atom
* SG: Cmcm, No. 63
* calculated formation energy: -0.281 eV per atom


First-principles (PBE) data for crystalline PrTmIn4 at its relaxed geometry, as listed in the Alexandria database.

Structure (CIF):
```
data_PrTmIn4
_cell_length_a 4.894
_cell_length_b 4.894
_cell_length_c 7.992
_cell_angle_alpha 90.00
_cell_angle_beta 90.00
_cell_angle_gamma 90.46
_space_group_name_H-M_alt 'P 1'
_space_group_IT_number 1
_space_group_name_Hall 'P 1'
loop_
_atom_site_label
_atom_site_type_symbol
_atom_site_fract_x
_atom_site_fract_y
_atom_site_fract_z
_atom_site_occupancy
Pr1 Pr 0.000 0.000 0.000 1
Tm1 Tm 0.500 0.500 0.500 1
In1 In 0.000 0.500 0.270 1
In2 In 0.000 0.500 0.730 1
In3 In 0.500 0.000 0.270 1
In4 In 0.500 0.000 0.730 1
```

Summary:
* magnetization: 0.00 μB/f.u.
* calculated total energy: -3.43 eV/atom
* SG: Cmmm, No. 65
* calculated formation energy: -0.061 eV per atom


First-principles (PBE) data for crystalline Pr12Tm3In at its relaxed geometry, as listed in the Alexandria database.

Structure (CIF):
```
data_Pr12Tm3In
_cell_length_a 5.118
_cell_length_b 5.118
_cell_length_c 20.698
_cell_angle_alpha 90.00
_cell_angle_beta 90.00
_cell_angle_gamma 90.00
_space_group_name_H-M_alt 'P 1'
_space_group_IT_number 1
_space_group_name_Hall 'P 1'
loop_
_atom_site_label
_atom_site_type_symbol
_atom_site_fract_x
_atom_site_fract_y
_atom_site_fract_z
_atom_site_occupancy
Pr1 Pr 0.000 0.000 0.000 1
Pr2 Pr 0.000 0.000 0.248 1
Pr3 Pr 0.000 0.000 0.500 1
Pr4 Pr 0.000 0.000 0.752 1
Pr5 Pr 0.000 0.500 0.122 1
Pr6 Pr 0.000 0.500 0.374 1
Pr7 Pr 0.000 0.500 0.626 1
Pr8 Pr 0.000 0.500 0.878 1
Pr9 Pr 0.500 0.000 0.122 1
Pr10 Pr 0.500 0.000 0.374 1
Pr11 Pr 0.500 0.000 0.626 1
Pr12 Pr 0.500 0.000 0.878 1
Tm1 Tm 0.500 0.500 0.249 1
Tm2 Tm 0.500 0.500 0.500 1
Tm3 Tm 0.500 0.500 0.751 1
In1 In 0.500 0.500 0.000 1
```

Summary:
* magnetization: 0.00 μB/f.u.
* calculated total energy: -4.65 eV/atom
* SG: P4/mmm, No. 123
* calculated formation energy: -0.052 eV per atom